First-principles (PBE+U) data for crystalline KFe2B2O6 at its relaxed geometry, as listed in Alexandria.

POSCAR file:
```
KFe2B2O6
1.0
5.3418 -0.1613 0.0184
2.5174 5.9550 0.7172
0.0968 -2.6960 4.5366
Fe O B K
2 6 2 1
Direct
0.7687 0.4592 0.8348 Fe
0.2313 0.5408 0.1652 Fe
0.6048 0.2778 0.0430 O
0.9028 0.4635 0.2009 O
0.2198 0.7442 0.5443 O
0.7802 0.2558 0.4557 O
0.3952 0.7222 0.9570 O
0.0972 0.5365 0.7991 O
0.7683 0.3269 0.2437 B
0.2317 0.6731 0.7563 B
0.5000 0.0000 0.5000 K
```

space group: No. 2
electronic total energy: -76.55 eV/f.u.